# 1
## TlIn2Os (PBE)

Data for a relaxed structure of TlIn2Os.

a = 5.037 Å, b = 5.037 Å, c = 3.320 Å
α = 90.00°, β = 90.00°, γ = 90.00°
Fractional positions:
Os: 0.500 0.000 0.500
In: 0.000 0.000 0.000
In: 0.500 0.500 0.000
Tl: 0.000 0.500 0.500

uncorrected energy	-4.07	eV/atom
total moment	0.0	μB/cell
E above lowest polymorph	335	meV/atom
SG	P4/mmm, No. 123

---

# 2
## NbCrIN2 (PBE)

Data for a relaxed structure of NbCrIN2.

a = 4.043 Å, b = 4.043 Å, c = 5.828 Å
α = 90.00°, β = 90.00°, γ = 90.00°
Each line ends with the local moment (μB).
Fractional positions:
I: 0.000 0.000 0.500  -0.02
Cr: 0.500 0.500 0.500  -1.11
Nb: 0.000 0.000 0.000  -0.02
N: 0.000 0.500 0.000  -0.01
N: 0.500 0.000 0.000  -0.01

uncorrected energy	-6.50	eV/atom
total moment	1.3	μB/cell
E above lowest polymorph	0	meV/atom
formation energy from raw total energies	1082.2	meV per atom
SG	P4/mmm, No. 123

---

# 3
## K2U2As2P (PBE)

Data for a relaxed structure of K2U2As2P.

a = 5.162 Å, b = 5.162 Å, c = 9.112 Å
α = 106.45°, β = 106.45°, γ = 90.00°
Each line ends with the local moment (μB).
Fractional positions:
As: 0.603 0.603 0.206  -0.08
As: 0.397 0.397 0.794  -0.08
U: 0.000 0.500 0.000  2.19
U: 0.500 0.000 0.000  2.19
K: 0.191 0.191 0.383  0.00
K: 0.809 0.809 0.617  0.00
P: 0.000 0.000 0.000  -0.09

uncorrected energy	-6.09	eV/atom
total moment	4.5	μB/cell
SG	I4/mmm, No. 139

---

# 4
## Zr2ScReC (PBE)

Data for a relaxed structure of Zr2ScReC.

a = 4.708 Å, b = 4.012 Å, c = 4.708 Å
α = 90.00°, β = 90.00°, γ = 90.00°
Fractional positions:
Sc: 0.500 0.500 0.500
Zr: 0.500 0.000 0.000
Zr: 0.000 0.000 0.500
C: 0.000 0.000 0.000
Re: 0.000 0.500 0.000

uncorrected energy	-9.28	eV/atom
total moment	0.0	μB/cell
SG	P4/mmm, No. 123

---

# 5
## As3Rh (PBE)

Data for a relaxed structure of As3Rh.

a = 8.853 Å, b = 8.853 Å, c = 8.853 Å
α = 20.04°, β = 20.04°, γ = 20.04°
Fractional positions:
As: 0.500 0.500 0.500
As: 0.262 0.262 0.262
As: 0.738 0.738 0.738
Rh: 0.000 0.000 0.000

uncorrected energy	-5.27	eV/atom
total moment	0.0	μB/cell
E above lowest polymorph	494	meV/atom
SG	R-3m, No. 166

---

# 6
## Pr6Te3AuSe2 (PBE)

Data for a relaxed structure of Pr6Te3AuSe2.

a = 7.612 Å, b = 7.612 Å, c = 7.725 Å
α = 99.47°, β = 99.47°, γ = 119.93°
Fractional positions:
Pr: 0.410 0.076 0.230
Pr: 0.590 0.924 0.770
Pr: 0.743 0.743 0.230
Pr: 0.076 0.410 0.230
Pr: 0.257 0.257 0.770
Pr: 0.924 0.590 0.770
Te: 0.500 0.500 0.500
Te: 0.832 0.168 0.500
Te: 0.168 0.832 0.500
Au: 0.000 0.000 0.000
Se: 0.334 0.666 0.000
Se: 0.666 0.334 0.000

uncorrected energy	-5.52	eV/atom
total moment	0.0	μB/cell
formation energy from raw total energies	-1486.1	meV per atom
SG	C2/m, No. 12

---

# 7
## NaMg2Tl6 (PBE)

Data for a relaxed structure of NaMg2Tl6.

a = 4.832 Å, b = 4.832 Å, c = 12.511 Å
α = 101.13°, β = 101.13°, γ = 90.00°
Fractional positions:
Tl: 0.905 0.405 0.810
Tl: 0.095 0.595 0.190
Tl: 0.595 0.095 0.190
Tl: 0.405 0.905 0.810
Tl: 0.250 0.750 0.500
Tl: 0.750 0.250 0.500
Mg: 0.674 0.674 0.348
Mg: 0.326 0.326 0.652
Na: 0.000 0.000 0.000

uncorrected energy	-1.99	eV/atom
total moment	0.0	μB/cell
E above lowest polymorph	110	meV/atom
SG	I4/mmm, No. 139

---

What is the uncorrected energy in the sixth record? -5.52 eV/atom

---

Look up the uncorrected energy of the third one. -6.09 eV/atom